No. 1
# ZrReNi2, relaxed, DFT GGA-PBE
# Density of states at the Fermi level: 3.43 states/eV/f.u.
# E: -8.237 eV/atom
data_ZrReNi2
_symmetry_space_group_name_H-M 'P 1'
_symmetry_Int_Tables_number 1
_symmetry_space_group_name_Hall 'P 1'
_cell_length_a 3.806
_cell_length_b 2.720
_cell_length_c 6.205
_cell_angle_alpha 64.17
_cell_angle_beta 90.00
_cell_angle_gamma 90.00
loop_
_atom_site_label
_atom_site_fract_x
_atom_site_fract_y
_atom_site_fract_z
_atom_site_occupancy
Zr1 0.500 0.750 0.750 1
Ni1 0.000 0.970 0.030 1
Re1 0.500 0.250 0.250 1
Ni2 0.000 0.530 0.470 1

***

No. 2
# Li2YMg9, relaxed, DFT GGA-PBE
# Density of states at the Fermi level: 5.46 states/eV/f.u.
# E: -2.072 eV/atom
data_Li2YMg9
_symmetry_space_group_name_H-M 'P 1'
_symmetry_Int_Tables_number 1
_symmetry_space_group_name_Hall 'P 1'
_cell_length_a 7.662
_cell_length_b 9.306
_cell_length_c 9.306
_cell_angle_alpha 80.24
_cell_angle_beta 65.69
_cell_angle_gamma 65.69
loop_
_atom_site_label
_atom_site_fract_x
_atom_site_fract_y
_atom_site_fract_z
_atom_site_occupancy
Mg1 0.319 0.078 0.679 1
Mg2 0.002 0.679 0.922 1
Mg3 0.431 0.422 0.821 1
Mg4 0.748 0.821 0.578 1
Li1 0.875 0.250 0.750 1
Mg5 0.319 0.679 0.078 1
Li2 0.875 0.250 0.250 1
Mg6 0.002 0.922 0.679 1
Mg7 0.076 0.922 0.321 1
Mg8 0.000 0.000 0.000 1
Mg9 0.147 0.179 0.422 1
Mg10 0.603 0.321 0.078 1
Mg11 0.147 0.422 0.179 1
Y1 0.500 0.000 0.000 1
Mg12 0.750 0.500 0.500 1
Mg13 0.603 0.078 0.321 1
Mg14 0.431 0.821 0.422 1
Mg15 0.674 0.179 0.578 1
Mg16 0.076 0.321 0.922 1
Mg17 0.748 0.578 0.821 1
Li3 0.875 0.750 0.250 1
Y2 0.250 0.500 0.500 1
Li4 0.375 0.750 0.750 1
Mg18 0.674 0.578 0.179 1

***

No. 3
# RbSn3Os, relaxed, DFT GGA-PBE
# Density of states at the Fermi level: 5.23 states/eV/f.u.
# E: -2.336 eV/atom
data_RbSn3Os
_symmetry_space_group_name_H-M 'P 1'
_symmetry_Int_Tables_number 1
_symmetry_space_group_name_Hall 'P 1'
_cell_length_a 5.839
_cell_length_b 5.839
_cell_length_c 5.839
_cell_angle_alpha 90.00
_cell_angle_beta 90.00
_cell_angle_gamma 90.00
loop_
_atom_site_label
_atom_site_fract_x
_atom_site_fract_y
_atom_site_fract_z
_atom_site_occupancy
Sn1 0.000 0.000 0.500 1
Sn2 0.000 0.500 0.000 1
Os1 0.500 0.500 0.500 1
Rb1 0.000 0.000 0.000 1
Sn3 0.500 0.000 0.000 1

***

No. 4
# DyInCo, relaxed, DFT GGA-PBE
# Density of states at the Fermi level: 2.35 states/eV/f.u.
# E: -4.974 eV/atom
data_DyInCo
_symmetry_space_group_name_H-M 'P 1'
_symmetry_Int_Tables_number 1
_symmetry_space_group_name_Hall 'P 1'
_cell_length_a 3.276
_cell_length_b 3.276
_cell_length_c 6.078
_cell_angle_alpha 105.63
_cell_angle_beta 105.63
_cell_angle_gamma 90.00
loop_
_atom_site_label
_atom_site_fract_x
_atom_site_fract_y
_atom_site_fract_z
_atom_site_occupancy
In1 0.029 0.029 0.057 1
Co1 0.660 0.660 0.321 1
Dy1 0.311 0.311 0.622 1

***

No. 5
# BeNO2F, relaxed, DFT GGA-PBE
# Density of states at the Fermi level: 3.39 states/eV/f.u.
# E: -4.194 eV/atom
data_BeNO2F
_symmetry_space_group_name_H-M 'P 1'
_symmetry_Int_Tables_number 1
_symmetry_space_group_name_Hall 'P 1'
_cell_length_a 3.096
_cell_length_b 3.096
_cell_length_c 5.696
_cell_angle_alpha 90.00
_cell_angle_beta 90.00
_cell_angle_gamma 90.00
loop_
_atom_site_label
_atom_site_fract_x
_atom_site_fract_y
_atom_site_fract_z
_atom_site_occupancy
Be1 0.000 0.000 0.000 1
F1 0.500 0.500 0.500 1
N1 0.000 0.000 0.500 1
O1 0.000 0.500 0.000 1
O2 0.500 0.000 0.000 1

***

No. 6
# HfPCl2F, relaxed, DFT GGA-PBE
# Density of states at the Fermi level: 4.14 states/eV/f.u.
# E: -4.240 eV/atom
data_HfPCl2F
_symmetry_space_group_name_H-M 'P 1'
_symmetry_Int_Tables_number 1
_symmetry_space_group_name_Hall 'P 1'
_cell_length_a 4.962
_cell_length_b 4.962
_cell_length_c 3.677
_cell_angle_alpha 90.00
_cell_angle_beta 90.00
_cell_angle_gamma 90.00
loop_
_atom_site_label
_atom_site_fract_x
_atom_site_fract_y
_atom_site_fract_z
_atom_site_occupancy
Hf1 0.500 0.500 0.500 1
Cl1 0.000 0.500 0.000 1
P1 0.000 0.000 0.500 1
F1 0.000 0.000 0.000 1
Cl2 0.500 0.000 0.000 1

***

No. 7
# LiSnS, relaxed, DFT GGA-PBE
# Density of states at the Fermi level: 0.65 states/eV/f.u.
# E: -4.114 eV/atom
data_LiSnS
_symmetry_space_group_name_H-M 'P 1'
_symmetry_Int_Tables_number 1
_symmetry_space_group_name_Hall 'P 1'
_cell_length_a 7.877
_cell_length_b 4.305
_cell_length_c 4.305
_cell_angle_alpha 89.99
_cell_angle_beta 90.00
_cell_angle_gamma 90.00
loop_
_atom_site_label
_atom_site_fract_x
_atom_site_fract_y
_atom_site_fract_z
_atom_site_occupancy
S1 0.648 0.508 0.992 1
Sn1 0.958 0.505 0.995 1
Li1 0.500 0.008 0.992 1
S2 0.352 0.008 0.492 1
Li2 0.500 0.508 0.492 1
Sn2 0.042 0.005 0.495 1

***

No. 8
# Zn2CoAs, relaxed, DFT GGA-PBE
# Density of states at the Fermi level: 2.84 states/eV/f.u.
# E: -3.523 eV/atom
data_Zn2CoAs
_symmetry_space_group_name_H-M 'P 1'
_symmetry_Int_Tables_number 1
_symmetry_space_group_name_Hall 'P 1'
_cell_length_a 8.286
_cell_length_b 8.286
_cell_length_c 8.286
_cell_angle_alpha 20.51
_cell_angle_beta 20.51
_cell_angle_gamma 20.51
loop_
_atom_site_label
_atom_site_fract_x
_atom_site_fract_y
_atom_site_fract_z
_atom_site_occupancy
As1 0.515 0.515 0.515 1
Zn1 0.748 0.748 0.748 1
Zn2 0.991 0.991 0.991 1
Co1 0.246 0.246 0.246 1

***

No. 9
# Pu2SnGe2, relaxed, DFT GGA-PBE
# Density of states at the Fermi level: 15.25 states/eV/f.u.
# E: -8.798 eV/atom
data_Pu2SnGe2
_symmetry_space_group_name_H-M 'P 1'
_symmetry_Int_Tables_number 1
_symmetry_space_group_name_Hall 'P 1'
_cell_length_a 4.302
_cell_length_b 7.396
_cell_length_c 7.396
_cell_angle_alpha 90.00
_cell_angle_beta 90.00
_cell_angle_gamma 90.00
loop_
_atom_site_label
_atom_site_fract_x
_atom_site_fract_y
_atom_site_fract_z
_atom_site_occupancy
Pu1 0.500 0.175 0.675 1
Ge1 0.000 0.622 0.122 1
Pu2 0.500 0.675 0.825 1
Ge2 0.000 0.878 0.622 1
Ge3 0.000 0.122 0.378 1
Sn1 0.000 0.000 0.000 1
Pu3 0.500 0.825 0.325 1
Ge4 0.000 0.378 0.878 1
Sn2 0.000 0.500 0.500 1
Pu4 0.500 0.325 0.175 1

***

No. 10
# Ac6CuIr2Au, relaxed, DFT GGA-PBE
# Density of states at the Fermi level: 8.66 states/eV/f.u.
# E: -5.455 eV/atom
data_Ac6CuIr2Au
_symmetry_space_group_name_H-M 'P 1'
_symmetry_Int_Tables_number 1
_symmetry_space_group_name_Hall 'P 1'
_cell_length_a 7.745
_cell_length_b 7.747
_cell_length_c 8.265
_cell_angle_alpha 62.04
_cell_angle_beta 62.04
_cell_angle_gamma 59.99
loop_
_atom_site_label
_atom_site_fract_x
_atom_site_fract_y
_atom_site_fract_z
_atom_site_occupancy
Ac1 0.245 0.895 0.244 1
Ac2 0.616 0.244 0.244 1
Ir1 0.508 0.507 0.477 1
Au1 0.817 0.817 0.549 1
Ir2 0.005 0.005 0.985 1
Ac3 0.743 0.127 0.745 1
Ac4 0.127 0.385 0.745 1
Cu1 0.321 0.321 0.037 1
Ac5 0.896 0.616 0.244 1
Ac6 0.384 0.744 0.745 1

***

No. 11
# Ti2NiH2, relaxed, DFT GGA-PBE
# Density of states at the Fermi level: 3.25 states/eV/f.u.
# E: -5.519 eV/atom
data_Ti2NiH2
_symmetry_space_group_name_H-M 'P 1'
_symmetry_Int_Tables_number 1
_symmetry_space_group_name_Hall 'P 1'
_cell_length_a 6.318
_cell_length_b 6.318
_cell_length_c 2.566
_cell_angle_alpha 90.00
_cell_angle_beta 90.00
_cell_angle_gamma 90.00
loop_
_atom_site_label
_atom_site_fract_x
_atom_site_fract_y
_atom_site_fract_z
_atom_site_occupancy
H1 0.386 0.114 0.500 1
H2 0.614 0.886 0.500 1
Ti1 0.151 0.349 0.000 1
Ti2 0.651 0.151 0.000 1
Ti3 0.349 0.849 0.000 1
H3 0.114 0.614 0.500 1
Ni1 0.500 0.500 0.000 1
Ti4 0.849 0.651 0.000 1
Ni2 0.000 0.000 0.000 1
H4 0.886 0.386 0.500 1

***

No. 12
# AlBi3Ir, relaxed, DFT GGA-PBE
# Density of states at the Fermi level: 5.33 states/eV/f.u.
# E: -3.632 eV/atom
data_AlBi3Ir
_symmetry_space_group_name_H-M 'P 1'
_symmetry_Int_Tables_number 1
_symmetry_space_group_name_Hall 'P 1'
_cell_length_a 5.248
_cell_length_b 5.248
_cell_length_c 5.248
_cell_angle_alpha 90.00
_cell_angle_beta 90.00
_cell_angle_gamma 90.00
loop_
_atom_site_label
_atom_site_fract_x
_atom_site_fract_y
_atom_site_fract_z
_atom_site_occupancy
Ir1 0.500 0.500 0.500 1
Bi1 0.500 0.000 0.000 1
Bi2 0.000 0.000 0.500 1
Bi3 0.000 0.500 0.000 1
Al1 0.000 0.000 0.000 1